A relaxed TbY2MoO6 crystal, computed with PBE+U.

The structure in extended XYZ format:
```
10
Lattice="5.7470 -0.0002 0.0009 2.8733 4.9770 0.0005 2.8740 1.6593 5.0419" Properties=species:S:1:pos:R:3 pbc="T T T"
Tb 8.6208 4.9769 2.9100
Y 5.7470 3.3179 2.0850
Y 2.8737 1.6593 4.7014
Mo 2.8736 1.6590 0.2322
O 4.8130 1.4481 1.2804
O 4.5947 5.0611 1.2797
O 7.8333 3.4439 1.2809
O 6.6064 4.7360 3.8407
O 6.5453 1.8653 3.8405
O 4.0902 3.3543 3.8413
```

Spin magnetization ... 3.0 μB/cell
SG ... R3 (146)
Calculated volume ... 14.4 Å³ per atom
Energy ... -8.47 eV/atom